First-principles (GGA-PBE) data for crystalline AlTeCl2 at its relaxed geometry, as listed in Alexandria.

Results
Calculated volume: 36.3 A^3/atom
Excess energy over the best structure of this formula in the dataset: 0.010 eV per atom
Space group: Pm (6)
Uncorrected formation energy: -0.89 eV/atom
Raw total energy: -3.535 eV per atom

a = 6.523 Å, b = 3.268 Å, c = 7.268 Å
α = 90.00°, β = 110.44°, γ = 90.00°
Sites, in units of the cell vectors:
1 Al 0.000 0.000 0.000
2 Te 0.949 0.500 0.290
3 Cl 0.226 0.500 0.944
4 Cl 0.712 0.000 0.749

---

First-principles (GGA-PBE) data for crystalline AlTeCl3 at its relaxed geometry, as listed in Alexandria.

Results
Calculated volume: 24.5 A^3/atom
Excess energy over the best structure of this formula in the dataset: 0.000 eV per atom
Space group: Pm-3m (221)
Uncorrected formation energy: -0.41 eV/atom
Raw total energy: -2.894 eV per atom

a = 4.967 Å, b = 4.967 Å, c = 4.967 Å
α = 90.00°, β = 90.00°, γ = 90.00°
Sites, in units of the cell vectors:
1 Al 0.000 0.000 0.000
2 Te 0.500 0.500 0.500
3 Cl 0.000 0.000 0.500
4 Cl 0.000 0.500 0.000
5 Cl 0.500 0.000 0.000

---

First-principles (GGA-PBE) data for crystalline AlTeCl7 at its relaxed geometry, as listed in Alexandria.

Results
Calculated volume: 35.7 A^3/atom
Excess energy over the best structure of this formula in the dataset: 0.003 eV per atom
Space group: P-1 (2)
Uncorrected formation energy: -1.02 eV/atom
Raw total energy: -3.226 eV per atom

a = 6.800 Å, b = 8.960 Å, c = 21.263 Å
α = 92.40°, β = 92.66°, γ = 95.66°
Sites, in units of the cell vectors:
1 Al 0.188 0.382 0.094
2 Al 0.225 0.844 0.385
3 Al 0.775 0.156 0.615
4 Al 0.812 0.618 0.906
5 Te 0.234 0.802 0.604
6 Te 0.267 0.269 0.885
7 Te 0.733 0.731 0.115
8 Te 0.766 0.198 0.396
9 Cl 0.035 0.856 0.154
10 Cl 0.065 0.322 0.439
11 Cl 0.068 0.102 0.589
12 Cl 0.090 0.563 0.867
13 Cl 0.107 0.223 0.014
14 Cl 0.139 0.808 0.708
15 Cl 0.204 0.653 0.323
16 Cl 0.336 0.584 0.057
17 Cl 0.359 0.283 0.163
18 Cl 0.375 0.039 0.343
19 Cl 0.393 0.307 0.786
20 Cl 0.393 0.584 0.613
21 Cl 0.394 0.802 0.472
22 Cl 0.415 0.047 0.900
23 Cl 0.585 0.953 0.100
24 Cl 0.606 0.198 0.528
25 Cl 0.607 0.416 0.387
26 Cl 0.607 0.693 0.214
27 Cl 0.625 0.961 0.657
28 Cl 0.641 0.717 0.837
29 Cl 0.664 0.416 0.943
30 Cl 0.796 0.347 0.677
31 Cl 0.861 0.192 0.292
32 Cl 0.893 0.777 0.986
33 Cl 0.910 0.437 0.133
34 Cl 0.932 0.898 0.411
35 Cl 0.935 0.678 0.561
36 Cl 0.965 0.144 0.846

---

First-principles (GGA-PBE) data for crystalline AlTeCl2 at its relaxed geometry, as listed in Alexandria.

Results
Calculated volume: 23.2 A^3/atom
Excess energy over the best structure of this formula in the dataset: 0.957 eV per atom
Space group: Cmmm (65)
Uncorrected formation energy: 0.06 eV/atom
Raw total energy: -2.588 eV per atom

a = 5.484 Å, b = 5.484 Å, c = 3.241 Å
α = 90.00°, β = 90.00°, γ = 107.60°
Sites, in units of the cell vectors:
1 Al 0.000 0.000 0.000
2 Te 0.500 0.500 0.000
3 Cl 0.000 0.500 0.500
4 Cl 0.500 0.000 0.500

---

First-principles (GGA-PBE) data for crystalline AlTeCl2 at its relaxed geometry, as listed in Alexandria.

Results
Calculated volume: 36.6 A^3/atom
Excess energy over the best structure of this formula in the dataset: 0.616 eV per atom
Space group: Cmm2 (35)
Uncorrected formation energy: -0.28 eV/atom
Raw total energy: -2.929 eV per atom

a = 5.016 Å, b = 5.016 Å, c = 9.086 Å
α = 90.00°, β = 90.00°, γ = 140.13°
Sites, in units of the cell vectors:
1 Al 0.000 0.000 0.000
2 Te 0.500 0.500 0.769
3 Cl 0.000 0.000 0.522
4 Cl 0.500 0.500 0.182

---

First-principles (GGA-PBE) data for crystalline AlTeCl2 at its relaxed geometry, as listed in Alexandria.

Results
Calculated volume: 36.8 A^3/atom
Excess energy over the best structure of this formula in the dataset: 0.680 eV per atom
Space group: I-42d (122)
Uncorrected formation energy: -0.22 eV/atom
Raw total energy: -2.864 eV per atom

a = 7.457 Å, b = 7.457 Å, c = 7.457 Å
α = 119.77°, β = 119.77°, γ = 90.40°
Sites, in units of the cell vectors:
1 Al 0.000 0.000 0.000
2 Al 0.750 0.250 0.500
3 Te 0.250 0.750 0.500
4 Te 0.500 0.500 0.000
5 Cl 0.375 0.095 0.220
6 Cl 0.845 0.625 0.720
7 Cl 0.875 0.155 0.780
8 Cl 0.905 0.125 0.280

---

First-principles (GGA-PBE) data for crystalline AlTe3Cl at its relaxed geometry, as listed in Alexandria.

Results
Calculated volume: 32.2 A^3/atom
Excess energy over the best structure of this formula in the dataset: 0.458 eV per atom
Space group: Pm-3m (221)
Uncorrected formation energy: 0.69 eV/atom
Raw total energy: -2.310 eV per atom

a = 5.438 Å, b = 5.438 Å, c = 5.438 Å
α = 90.00°, β = 90.00°, γ = 90.00°
Sites, in units of the cell vectors:
1 Al 0.000 0.000 0.000
2 Te 0.000 0.500 0.500
3 Te 0.500 0.000 0.500
4 Te 0.500 0.500 0.000
5 Cl 0.500 0.500 0.500

---

First-principles (GGA-PBE) data for crystalline AlTeCl7 at its relaxed geometry, as listed in Alexandria.

Results
Calculated volume: 36.3 A^3/atom
Excess energy over the best structure of this formula in the dataset: 0.000 eV per atom
Space group: P2_1/c (14)
Uncorrected formation energy: -1.03 eV/atom
Raw total energy: -3.228 eV per atom

a = 6.777 Å, b = 12.586 Å, c = 15.932 Å
α = 90.00°, β = 106.04°, γ = 90.00°
Sites, in units of the cell vectors:
1 Al 0.128 0.053 0.244
2 Al 0.128 0.447 0.744
3 Al 0.872 0.553 0.256
4 Al 0.872 0.947 0.756
5 Te 0.438 0.749 0.877
6 Te 0.438 0.751 0.377
7 Te 0.562 0.249 0.623
8 Te 0.562 0.251 0.123
9 Cl 0.014 0.093 0.351
10 Cl 0.014 0.407 0.851
11 Cl 0.083 0.602 0.380
12 Cl 0.083 0.898 0.880
13 Cl 0.165 0.618 0.730
14 Cl 0.165 0.882 0.230
15 Cl 0.295 0.131 0.622
16 Cl 0.295 0.369 0.122
17 Cl 0.315 0.651 0.977
18 Cl 0.315 0.849 0.477
19 Cl 0.364 0.137 0.017
20 Cl 0.364 0.363 0.517
21 Cl 0.426 0.129 0.261
22 Cl 0.426 0.371 0.761
23 Cl 0.574 0.629 0.239
24 Cl 0.574 0.871 0.739
25 Cl 0.636 0.637 0.483
26 Cl 0.636 0.863 0.983
27 Cl 0.685 0.151 0.523
28 Cl 0.685 0.349 0.023
29 Cl 0.705 0.631 0.878
30 Cl 0.705 0.869 0.378
31 Cl 0.835 0.118 0.770
32 Cl 0.835 0.382 0.270
33 Cl 0.917 0.102 0.120
34 Cl 0.917 0.398 0.620
35 Cl 0.986 0.593 0.149
36 Cl 0.986 0.907 0.649

---

First-principles (GGA-PBE) data for crystalline AlTeCl2 at its relaxed geometry, as listed in Alexandria.

Results
Calculated volume: 30.0 A^3/atom
Excess energy over the best structure of this formula in the dataset: 0.405 eV per atom
Space group: Imm2 (44)
Uncorrected formation energy: -0.50 eV/atom
Raw total energy: -3.140 eV per atom

a = 7.885 Å, b = 7.885 Å, c = 7.885 Å
α = 156.70°, β = 141.64°, γ = 45.37°
Sites, in units of the cell vectors:
1 Al 0.000 0.000 0.000
2 Te 0.845 0.345 0.500
3 Cl 0.116 0.616 0.500
4 Cl 0.492 0.492 0.000

---

First-principles (GGA-PBE) data for crystalline AlTeCl2 at its relaxed geometry, as listed in Alexandria.

Results
Calculated volume: 36.5 A^3/atom
Excess energy over the best structure of this formula in the dataset: 0.000 eV per atom
Space group: Cm (8)
Uncorrected formation energy: -0.90 eV/atom
Raw total energy: -3.544 eV per atom

a = 7.110 Å, b = 7.110 Å, c = 7.312 Å
α = 115.70°, β = 115.70°, γ = 26.14°
Sites, in units of the cell vectors:
1 Al 0.000 0.000 0.000
2 Te 0.460 0.460 0.661
3 Cl 0.617 0.617 0.210
4 Cl 0.866 0.866 0.063

---

First-principles (GGA-PBE) data for crystalline AlTeCl4 at its relaxed geometry, as listed in Alexandria.

Results
Calculated volume: 27.2 A^3/atom
Space group: F-43m (216)
Uncorrected formation energy: 0.57 eV/atom
Raw total energy: -1.812 eV per atom

a = 6.137 Å, b = 6.137 Å, c = 6.137 Å
α = 60.00°, β = 60.00°, γ = 60.00°
Sites, in units of the cell vectors:
1 Al 0.000 0.000 0.000
2 Te 0.250 0.250 0.250
3 Cl 0.123 0.626 0.626
4 Cl 0.626 0.123 0.626
5 Cl 0.626 0.626 0.123
6 Cl 0.626 0.626 0.626

---

First-principles (GGA-PBE) data for crystalline AlTeCl2 at its relaxed geometry, as listed in Alexandria.

Results
Calculated volume: 25.3 A^3/atom
Excess energy over the best structure of this formula in the dataset: 0.481 eV per atom
Space group: R-3m (166)
Uncorrected formation energy: -0.42 eV/atom
Raw total energy: -3.063 eV per atom

a = 9.957 Å, b = 9.957 Å, c = 9.957 Å
α = 20.03°, β = 20.03°, γ = 20.03°
Sites, in units of the cell vectors:
1 Al 0.000 0.000 0.000
2 Te 0.500 0.500 0.500
3 Cl 0.284 0.284 0.284
4 Cl 0.716 0.716 0.716